Compound: Cs2Li2ErBr6
Source: the Alexandria database
Functional: PBE
Structure: relaxed

Lattice parameters (Å, degrees): 7.8831 7.8699 9.2057 117.02 90.00 120.06
Sites, in units of the cell vectors:
Br  0.2672  0.5344  0.3930
Br  0.6959  0.9083  0.2482
Cs  0.2960  0.5920  0.8143
Br  0.3041  0.0917  0.7518
Li  0.0465  0.0931  0.1971
Br  0.2124  0.9083  0.2482
Er  0.5000  0.0000  0.5000
Br  0.7328  0.4656  0.6070
Br  0.7876  0.0917  0.7518
Cs  0.7040  0.4080  0.1857
Li  0.9535  0.9069  0.8029

## Properties
Raw formation energy (kJ/mol of atoms): -151.1
Mass density (g cm⁻³): 3.656
Electronic total energy (eV/atom): -3.40
Crystal system: monoclinic
M_tot (μB/f.u.): 1.00